# Ba3PrAl2O8 | Alexandria | PBE | optimized geometry
# Energy relative to the elements, uncorrected   -2.77 eV per atom
# Volume   17.414 A^3/atom
# E_tot   -6.90 eV/atom
data_Ba3PrAl2O8
_symmetry_space_group_name_H-M 'P -3 m 1'
_symmetry_Int_Tables_number 164
_symmetry_space_group_name_Hall '-P 3 2"'
_cell_length_a 6.0528
_cell_length_b 6.0528
_cell_length_c 7.6837
_cell_angle_alpha 90.00
_cell_angle_beta 90.00
_cell_angle_gamma 120.00
loop_
_atom_site_label
_atom_site_type_symbol
_atom_site_fract_x
_atom_site_fract_y
_atom_site_fract_z
Ba1 Ba 0.0000 0.0000 0.0000
Ba2 Ba 0.3333 0.6667 0.6704
Pr1 Pr 0.0000 0.0000 0.5000
Al1 Al 0.3333 0.6667 0.2222
O1 O 0.1758 0.3516 0.3079
O2 O 0.3333 0.6667 0.9936